(1)
# PBE KURe, optimized geometry
# final energy = -0.2382 Ha/atom
# calculated density = 9960 kg/m³
# space-group type = F-43m
# relative energy among the computed polymorphs = 0.0 meV/atom
data_KURe
_cell_length_a 4.7805
_cell_length_b 4.7805
_cell_length_c 4.7805
_cell_angle_alpha 60.00
_cell_angle_beta 60.00
_cell_angle_gamma 60.00
_symmetry_space_group_name_H-M 'P 1'
_symmetry_Int_Tables_number 1
loop_
_symmetry_equiv_pos_as_xyz
'x,y,z'
loop_
_atom_site_label
_atom_site_fract_x
_atom_site_fract_y
_atom_site_fract_z
Re1 0.0000 0.0000 0.0000
K1 0.7500 0.7500 0.7500
U1 0.2500 0.2500 0.2500

***

(2)
# PBE TaReAsO, optimized geometry
# final energy = -0.3284 Ha/atom
# calculated density = 13863 kg/m³
# space-group type = P4/nmm
# relative energy among the computed polymorphs = 149.4 meV/atom
data_TaReAsO
_cell_length_a 3.7713
_cell_length_b 3.7713
_cell_length_c 7.7157
_cell_angle_alpha 90.00
_cell_angle_beta 90.00
_cell_angle_gamma 90.00
_symmetry_space_group_name_H-M 'P 1'
_symmetry_Int_Tables_number 1
loop_
_symmetry_equiv_pos_as_xyz
'x,y,z'
loop_
_atom_site_label
_atom_site_fract_x
_atom_site_fract_y
_atom_site_fract_z
Ta1 0.2500 0.2500 0.1679
O1 0.7500 0.2500 0.0000
Re1 0.7500 0.2500 0.5000
O2 0.2500 0.7500 0.0000
Ta2 0.7500 0.7500 0.8321
Re2 0.2500 0.7500 0.5000
As1 0.2500 0.2500 0.7235
As2 0.7500 0.7500 0.2765

***

(3)
# PBE Sc6TcBi2, optimized geometry
# final energy = -0.2486 Ha/atom
# calculated density = 6183 kg/m³
# space-group type = P-62m
data_Sc6TcBi2
_cell_length_a 7.7518
_cell_length_b 7.7518
_cell_length_c 4.0546
_cell_angle_alpha 90.00
_cell_angle_beta 90.00
_cell_angle_gamma 120.00
_symmetry_space_group_name_H-M 'P 1'
_symmetry_Int_Tables_number 1
loop_
_symmetry_equiv_pos_as_xyz
'x,y,z'
loop_
_atom_site_label
_atom_site_fract_x
_atom_site_fract_y
_atom_site_fract_z
Sc1 0.3865 0.3865 0.0000
Sc2 0.6135 0.0000 0.0000
Bi1 0.6667 0.3333 0.5000
Sc3 0.0000 0.6135 0.0000
Sc4 0.2309 0.0000 0.5000
Tc1 0.0000 0.0000 0.0000
Sc5 0.7691 0.7691 0.5000
Bi2 0.3333 0.6667 0.5000
Sc6 0.0000 0.2309 0.5000

***

(4)
# PBE FeAgGePt, optimized geometry
# final energy = -0.1969 Ha/atom
# calculated density = 11583 kg/m³
# space-group type = F-43m
# relative energy among the computed polymorphs = 0.0 meV/atom
data_FeAgGePt
_cell_length_a 4.4390
_cell_length_b 4.4390
_cell_length_c 4.4390
_cell_angle_alpha 60.00
_cell_angle_beta 60.00
_cell_angle_gamma 60.00
_symmetry_space_group_name_H-M 'P 1'
_symmetry_Int_Tables_number 1
loop_
_symmetry_equiv_pos_as_xyz
'x,y,z'
loop_
_atom_site_label
_atom_site_fract_x
_atom_site_fract_y
_atom_site_fract_z
Pt1 0.2500 0.2500 0.2500
Ge1 0.0000 0.0000 0.0000
Ag1 0.5000 0.5000 0.5000
Fe1 0.7500 0.7500 0.7500

***

(5)
# PBE TmInHgTe3, optimized geometry
# final energy = -0.1270 Ha/atom
# calculated density = 7577 kg/m³
# space-group type = Pnma
# relative energy among the computed polymorphs = 33.0 meV/atom
data_TmInHgTe3
_cell_length_a 11.5946
_cell_length_b 4.4519
_cell_length_c 14.7271
_cell_angle_alpha 90.00
_cell_angle_beta 90.00
_cell_angle_gamma 90.00
_symmetry_space_group_name_H-M 'P 1'
_symmetry_Int_Tables_number 1
loop_
_symmetry_equiv_pos_as_xyz
'x,y,z'
loop_
_atom_site_label
_atom_site_fract_x
_atom_site_fract_y
_atom_site_fract_z
Te1 0.4389 0.5000 0.8977
Hg1 0.7567 0.0000 0.2145
In1 0.7167 0.0000 0.5101
Te2 0.0611 0.0000 0.3977
Hg2 0.7433 0.5000 0.7145
Tm1 0.9832 0.0000 0.7428
Te3 0.5315 0.5000 0.6158
Tm2 0.5168 0.5000 0.2428
Tm3 0.4832 0.0000 0.7572
In2 0.2167 0.0000 0.9899
In3 0.7833 0.5000 0.0101
Hg3 0.2567 0.0000 0.2855
Te4 0.5611 0.0000 0.1023
Te5 0.7643 0.5000 0.3391
Hg4 0.2433 0.5000 0.7855
Tm4 0.0168 0.5000 0.2572
Te6 0.7357 0.0000 0.8391
In4 0.2833 0.5000 0.4899
Te7 0.2357 0.0000 0.6609
Te8 0.2643 0.5000 0.1609
Te9 0.4685 0.0000 0.3842
Te10 0.0315 0.5000 0.8842
Te11 0.9389 0.5000 0.6023
Te12 0.9685 0.0000 0.1158

***

(6)
# PBE KZnCoS3, optimized geometry
# final energy = -0.1547 Ha/atom
# calculated density = 3597 kg/m³
# space-group type = Cmcm
data_KZnCoS3
_cell_length_a 7.2657
_cell_length_b 7.2657
_cell_length_c 9.4204
_cell_angle_alpha 90.00
_cell_angle_beta 90.00
_cell_angle_gamma 151.18
_symmetry_space_group_name_H-M 'P 1'
_symmetry_Int_Tables_number 1
loop_
_symmetry_equiv_pos_as_xyz
'x,y,z'
loop_
_atom_site_label
_atom_site_fract_x
_atom_site_fract_y
_atom_site_fract_z
Co1 0.0000 0.0000 0.0000
K1 0.7506 0.2494 0.2500
Co2 0.0000 0.0000 0.5000
Zn1 0.5365 0.4635 0.7500
S1 0.0643 0.9357 0.2500
K2 0.2494 0.7506 0.7500
S2 0.6056 0.3944 0.5325
S3 0.3944 0.6056 0.0325
Zn2 0.4635 0.5365 0.2500
S4 0.9357 0.0643 0.7500
S5 0.6056 0.3944 0.9675
S6 0.3944 0.6056 0.4675

***

Question: Look up the final energy of the second one.
Answer: -0.3284 Ha/atom